(1)
Entry from Alexandria: Li3MnF7 at its PBEsol-relaxed geometry (meta-GGA SCAN).

Unit cell a=6.0317 b=6.0317 c=13.0920 alpha=90.00 beta=90.00 gamma=120.00
With the nearest neighbours (Å) after each atom.
Space group R3m (No. 160, hexagonal axes)
Symmetry-distinct sites (fractional):
Li: 0.0143 0.5072 0.0000  4 F 1.74-1.93
Mn: 0.0000 0.0000 0.1114  6 F 1.78-1.87
F: 0.0000 0.0000 0.3705  3 Li 1.74
F: 0.0511 0.5256 0.8546  1 Mn 1.78, 1 Li 1.91
F: 0.1870 0.3740 0.6963  1 Mn 1.87, 2 Li 1.93

Results
ρ = 2.5 g/cm3
E_form (uncorrected) = -281 kJ per mole of atoms
M_tot = 8.923 μB/cell
N(E_F) = 0.0000 states/eV/atom

(2)
Entry from Alexandria: ZrTe2Pt at its PBEsol-relaxed geometry (meta-GGA SCAN).

Unit cell a=6.9590 b=6.9590 c=6.9590 alpha=90.00 beta=90.00 gamma=90.00
With the nearest neighbours (Å) after each atom.
Space group Fm-3m (No. 225)
Symmetry-distinct sites (fractional):
Zr: 0.0000 0.0000 0.0000  8 Te 3.01
Te: 0.2500 0.2500 0.2500  4 Zr 3.01, 4 Pt 3.01
Pt: 0.0000 0.0000 0.5000  8 Te 3.01

Results
ρ = 10.7 g/cm3
E_form (uncorrected) = -25 kJ per mole of atoms
energy above the most stable polymorph in this dataset = 434 meV/atom
M_tot = 0.000 μB/cell
N(E_F) = 0.4353 states/eV/atom

- Which of these has the highest ρ?
  ZrTe2Pt